Below is a relaxed V2NiBiSe crystal, with properties calculated at the PBE-GGA level.

Cell lengths 5.204, 5.553, 5.204 Å; angles 90.00, 90.00, 90.00 degrees
Atoms (fractional coordinates):
V (0.500, 0.000, 0.000)
Ni (0.500, 0.500, 0.500)
Bi (0.000, 0.000, 0.000)
Se (0.000, 0.500, 0.000)
V (0.000, 0.000, 0.500)

Results
- formation energy (no corrections) (meV per atom) = 1767
- SG = No. 123
- N(E_F) (states/eV per cell) = 26.05



Below is a relaxed SnSeO2 crystal, with properties calculated at the PBE-GGA level.

Cell lengths 7.005, 7.005, 7.005 Å; angles 27.53, 27.53, 27.53 degrees
Atoms (fractional coordinates):
O (0.117, 0.117, 0.117)
O (0.883, 0.883, 0.883)
Sn (0.000, 0.000, 0.000)
Se (0.500, 0.500, 0.500)

Results
- formation energy (no corrections) (meV per atom) = -235
- relative energy among the computed polymorphs (meV/atom) = 413
- SG = No. 166
- N(E_F) (states/eV per cell) = 1.20



Below is a relaxed FeOsRu crystal, with properties calculated at the PBE-GGA level.

Cell lengths 2.688, 2.688, 6.438 Å; angles 90.00, 90.00, 120.00 degrees
Atoms (fractional coordinates):
Ru (0.333, 0.667, 0.672)
Os (0.667, 0.333, 0.328)
Fe (0.000, 0.000, 0.000)

Results
- relative energy among the computed polymorphs (meV/atom) = 46
- SG = No. 156
- N(E_F) (states/eV per cell) = 3.63
- formation energy (eV per atom) = 0.158



Below is a relaxed Mg2InH6 crystal, with properties calculated at the PBE-GGA level.

Cell lengths 5.042, 5.042, 5.042 Å; angles 60.00, 60.00, 60.00 degrees
Atoms (fractional coordinates):
Mg (0.250, 0.250, 0.250)
H (0.726, 0.274, 0.274)
H (0.726, 0.274, 0.726)
H (0.274, 0.726, 0.726)
Mg (0.750, 0.750, 0.750)
H (0.274, 0.274, 0.726)
H (0.274, 0.726, 0.274)
In (0.000, 0.000, 0.000)
H (0.726, 0.726, 0.274)

Results
- SG = No. 225
- N(E_F) (states/eV per cell) = 1.24
- DFT total energy (eV/atom) = -2.4641



Below is a relaxed ReTeRu2 crystal, with properties calculated at the PBE-GGA level.

Cell lengths 4.483, 4.483, 4.483 Å; angles 60.00, 60.00, 60.00 degrees
Atoms (fractional coordinates):
Ru (0.750, 0.750, 0.750)
Ru (0.000, 0.000, 0.000)
Te (0.250, 0.250, 0.250)
Re (0.500, 0.500, 0.500)

Results
- formation energy (no corrections) (meV per atom) = 593
- SG = No. 216
- N(E_F) (states/eV per cell) = 4.95



Below is a relaxed Na2TiBiSe4 crystal, with properties calculated at the PBE-GGA level.

Cell lengths 3.989, 7.135, 7.358 Å; angles 108.13, 90.00, 90.00 degrees
Atoms (fractional coordinates):
Se (0.000, 0.282, 0.787)
Se (0.000, 0.718, 0.213)
Na (0.000, 0.500, 0.500)
Na (0.500, 0.000, 0.500)
Se (0.500, 0.270, 0.227)
Se (0.500, 0.730, 0.773)
Bi (0.000, 0.000, 0.000)
Ti (0.500, 0.500, 0.000)

Results
- formation energy (no corrections) (meV per atom) = -904
- SG = No. 10
- N(E_F) (states/eV per cell) = 4.40



Below is a relaxed MnSi2Ag crystal, with properties calculated at the PBE-GGA level.

Cell lengths 4.323, 4.323, 4.323 Å; angles 60.00, 60.00, 60.00 degrees
Atoms (fractional coordinates):
Si (0.750, 0.750, 0.750)
Mn (0.000, 0.000, 0.000)
Ag (0.500, 0.500, 0.500)
Si (0.250, 0.250, 0.250)

Results
- formation energy (no corrections) (meV per atom) = 362
- relative energy among the computed polymorphs (meV/atom) = 400
- SG = No. 225
- N(E_F) (states/eV per cell) = 1.74



Below is a relaxed Th3Zn4Ga2Cu2 crystal, with properties calculated at the PBE-GGA level.

Cell lengths 4.127, 4.127, 13.182 Å; angles 99.01, 99.01, 90.00 degrees
Atoms (fractional coordinates):
Zn (0.891, 0.391, 0.783)
Th (0.000, 0.000, 0.000)
Zn (0.109, 0.609, 0.217)
Th (0.207, 0.207, 0.414)
Zn (0.391, 0.891, 0.783)
Cu (0.329, 0.329, 0.658)
Ga (0.451, 0.451, 0.901)
Cu (0.671, 0.671, 0.342)
Zn (0.609, 0.109, 0.217)
Th (0.793, 0.793, 0.586)
Ga (0.549, 0.549, 0.099)

Results
- SG = No. 139
- N(E_F) (states/eV per cell) = 5.27
- formation energy (eV per atom) = -0.267



Below is a relaxed SrTcB3 crystal, with properties calculated at the PBE-GGA level.

Cell lengths 4.301, 4.301, 4.301 Å; angles 90.00, 90.00, 90.00 degrees
Atoms (fractional coordinates):
Sr (0.000, 0.000, 0.000)
B (0.000, 0.000, 0.500)
B (0.500, 0.000, 0.000)
Tc (0.500, 0.500, 0.500)
B (0.000, 0.500, 0.000)

Results
- relative energy among the computed polymorphs (meV/atom) = 3118
- SG = No. 221
- N(E_F) (states/eV per cell) = 12.96
- formation energy (eV per atom) = 3.370



Below is a relaxed TaBSe2Br crystal, with properties calculated at the PBE-GGA level.

Cell lengths 5.025, 5.025, 5.175 Å; angles 90.00, 90.00, 90.00 degrees
Atoms (fractional coordinates):
B (0.500, 0.500, 0.500)
Se (0.500, 0.000, 0.000)
Se (0.000, 0.500, 0.000)
Br (0.000, 0.000, 0.500)
Ta (0.000, 0.000, 0.000)

Results
- formation energy (no corrections) (meV per atom) = 748
- relative energy among the computed polymorphs (meV/atom) = 0
- SG = No. 123
- N(E_F) (states/eV per cell) = 3.34



Below is a relaxed LiZn2Pd2 crystal, with properties calculated at the PBE-GGA level.

Cell lengths 5.513, 4.717, 11.228 Å; angles 90.00, 100.94, 90.00 degrees
Atoms (fractional coordinates):
Zn (0.903, 0.335, 0.855)
Li (0.998, 0.844, 0.749)
Zn (0.209, 0.844, 0.549)
Pd (0.788, 0.840, 0.940)
Pd (0.712, 0.340, 0.060)
Zn (0.791, 0.156, 0.451)
Zn (0.291, 0.344, 0.451)
Zn (0.097, 0.665, 0.145)
Pd (0.288, 0.660, 0.940)
Pd (0.212, 0.160, 0.060)
Pd (0.595, 0.159, 0.652)
Zn (0.403, 0.165, 0.855)
Li (0.498, 0.656, 0.749)
Zn (0.709, 0.656, 0.549)
Pd (0.405, 0.841, 0.348)
Pd (0.095, 0.341, 0.652)
Pd (0.905, 0.659, 0.348)
Zn (0.597, 0.835, 0.145)
Li (0.002, 0.156, 0.251)
Li (0.502, 0.344, 0.251)

Results
- relative energy among the computed polymorphs (meV/atom) = 32
- SG = No. 14
- N(E_F) (states/eV per cell) = 4.98
- formation energy (eV per atom) = -0.456



Below is a relaxed KNi3Os crystal, with properties calculated at the PBE-GGA level.

Cell lengths 4.338, 4.338, 4.338 Å; angles 90.00, 90.00, 90.00 degrees
Atoms (fractional coordinates):
Ni (0.500, 0.000, 0.000)
Ni (0.000, 0.500, 0.000)
Os (0.500, 0.500, 0.500)
K (0.000, 0.000, 0.000)
Ni (0.000, 0.000, 0.500)

Results
- relative energy among the computed polymorphs (meV/atom) = 1498
- SG = No. 221
- N(E_F) (states/eV per cell) = 6.55
- formation energy (eV per atom) = 2.538



Below is a relaxed SiTcW crystal, with properties calculated at the PBE-GGA level.

Cell lengths 6.453, 6.227, 2.798 Å; angles 81.81, 72.78, 25.42 degrees
Atoms (fractional coordinates):
Tc (0.342, 0.342, 0.658)
Si (0.996, 0.996, 0.004)
W (0.662, 0.662, 0.338)

Results
- formation energy (no corrections) (meV per atom) = 66
- relative energy among the computed polymorphs (meV/atom) = 283
- SG = No. 42
- N(E_F) (states/eV per cell) = 2.17



Below is a relaxed TlIn2Hg crystal, with properties calculated at the PBE-GGA level.

Cell lengths 5.755, 3.279, 6.010 Å; angles 90.59, 90.00, 90.00 degrees
Atoms (fractional coordinates):
In (0.000, 0.996, 0.987)
In (0.500, 0.983, 0.267)
Tl (0.000, 0.499, 0.483)
Hg (0.500, 0.021, 0.762)

Results
- SG = No. 6
- N(E_F) (states/eV per cell) = 1.19
- formation energy (eV per atom) = 0.017



Below is a relaxed Sr2InSn3Ir4 crystal, with properties calculated at the PBE-GGA level.

Cell lengths 4.516, 4.516, 11.130 Å; angles 90.00, 90.00, 90.00 degrees
Atoms (fractional coordinates):
Sn (0.500, 0.000, 0.873)
In (0.500, 0.500, 0.500)
Ir (0.500, 0.500, 0.000)
Sn (0.000, 0.000, 0.500)
Ir (0.000, 0.500, 0.365)
Ir (0.500, 0.000, 0.635)
Sr (0.000, 0.500, 0.756)
Sr (0.500, 0.000, 0.244)
Sn (0.000, 0.500, 0.127)
Ir (0.000, 0.000, 0.000)

Results
- SG = No. 115
- N(E_F) (states/eV per cell) = 3.57
- formation energy (eV per atom) = -0.431



Below is a relaxed Ho2IrI crystal, with properties calculated at the PBE-GGA level.

Cell lengths 4.106, 4.106, 8.187 Å; angles 75.48, 75.48, 60.00 degrees
Atoms (fractional coordinates):
Ir (0.000, 0.000, 0.000)
I (0.500, 0.500, 0.500)
Ho (0.726, 0.726, 0.822)
Ho (0.274, 0.274, 0.178)

Results
- formation energy (no corrections) (meV per atom) = -977
- relative energy among the computed polymorphs (meV/atom) = 0
- SG = No. 166
- N(E_F) (states/eV per cell) = 0.73



Below is a relaxed PICl4 crystal, with properties calculated at the PBE-GGA level.

Cell lengths 6.466, 6.466, 6.466 Å; angles 111.52, 111.52, 105.45 degrees
Atoms (fractional coordinates):
P (0.250, 0.750, 0.500)
I (0.500, 0.500, 0.000)
Cl (0.475, 0.975, 0.950)
Cl (0.025, 0.975, 0.500)
Cl (0.025, 0.525, 0.050)
Cl (0.475, 0.525, 0.500)

Results
- formation energy (no corrections) (meV per atom) = 84
- SG = No. 119
- N(E_F) (states/eV per cell) = 6.45



Below is a relaxed Ce2TmAl2Zn2 crystal, with properties calculated at the PBE-GGA level.

Cell lengths 4.377, 4.377, 9.259 Å; angles 76.33, 76.33, 60.00 degrees
Atoms (fractional coordinates):
Al (0.735, 0.735, 0.795)
Zn (0.601, 0.601, 0.196)
Zn (0.399, 0.399, 0.804)
Al (0.265, 0.265, 0.205)
Ce (0.859, 0.859, 0.422)
Ce (0.141, 0.141, 0.578)
Tm (0.000, 0.000, 0.000)

Results
- SG = No. 166
- N(E_F) (states/eV per cell) = 9.37
- formation energy (eV per atom) = -0.325



Below is a relaxed SmTlPb2Br8 crystal, with properties calculated at the PBE-GGA level.

Cell lengths 7.299, 6.926, 9.280 Å; angles 89.98, 90.00, 89.22 degrees
Atoms (fractional coordinates):
Br (0.677, 0.757, 0.000)
Br (0.634, 0.731, 0.500)
Br (0.366, 0.269, 0.500)
Pb (0.500, 0.500, 0.252)
Br (0.157, 0.759, 0.220)
Br (0.323, 0.243, 0.000)
Br (0.843, 0.241, 0.780)
Pb (0.500, 0.500, 0.748)
Tl (0.000, 0.000, 0.500)
Br (0.157, 0.759, 0.780)
Br (0.843, 0.241, 0.220)
Sm (0.000, 0.000, 0.000)

Results
- formation energy (no corrections) (meV per atom) = -1209
- SG = No. 10
- N(E_F) (states/eV per cell) = 0.00



Below is a relaxed PrEuGaCu crystal, with properties calculated at the PBE-GGA level.

Cell lengths 5.220, 5.220, 5.220 Å; angles 60.00, 60.00, 60.00 degrees
Atoms (fractional coordinates):
Eu (0.000, 0.000, 0.000)
Cu (0.250, 0.250, 0.250)
Pr (0.500, 0.500, 0.500)
Ga (0.750, 0.750, 0.750)

Results
- SG = No. 216
- N(E_F) (states/eV per cell) = 8.43
- formation energy (eV per atom) = -0.290



Below is a relaxed Dy4Er4In crystal, with properties calculated at the PBE-GGA level.

Cell lengths 4.871, 7.826, 7.826 Å; angles 84.44, 71.87, 71.87 degrees
Atoms (fractional coordinates):
Dy (0.662, 0.000, 0.676)
Er (0.665, 0.335, 0.335)
Er (0.000, 0.335, 0.665)
Dy (0.338, 0.000, 0.324)
Dy (0.338, 0.324, 0.000)
Dy (0.662, 0.676, 0.000)
Er (0.000, 0.665, 0.335)
In (0.000, 0.000, 0.000)
Er (0.335, 0.665, 0.665)

Results
- SG = No. 139
- N(E_F) (states/eV per cell) = 13.75
- formation energy (eV per atom) = -0.073



Below is a relaxed CeTlCdPd crystal, with properties calculated at the PBE-GGA level.

Cell lengths 5.081, 5.081, 5.081 Å; angles 60.00, 60.00, 60.00 degrees
Atoms (fractional coordinates):
Tl (0.750, 0.750, 0.750)
Pd (0.250, 0.250, 0.250)
Cd (0.000, 0.000, 0.000)
Ce (0.500, 0.500, 0.500)

Results
- SG = No. 216
- N(E_F) (states/eV per cell) = 6.59
- formation energy (eV per atom) = -0.338



Below is a relaxed AlWAu2 crystal, with properties calculated at the PBE-GGA level.

Cell lengths 4.866, 4.866, 4.866 Å; angles 129.12, 129.12, 74.81 degrees
Atoms (fractional coordinates):
W (0.500, 0.500, 0.000)
Au (0.250, 0.750, 0.500)
Al (0.750, 0.250, 0.500)
Au (0.000, 0.000, 0.000)

Results
- SG = No. 119
- N(E_F) (states/eV per cell) = 2.92
- formation energy (eV per atom) = 0.361



Below is a relaxed GeSe2BrF crystal, with properties calculated at the PBE-GGA level.

Cell lengths 5.055, 5.055, 5.168 Å; angles 90.00, 90.00, 90.00 degrees
Atoms (fractional coordinates):
Ge (0.000, 0.000, 0.000)
Se (0.500, 0.000, 0.000)
F (0.500, 0.500, 0.500)
Br (0.000, 0.000, 0.500)
Se (0.000, 0.500, 0.000)

Results
- formation energy (no corrections) (meV per atom) = 264
- relative energy among the computed polymorphs (meV/atom) = 94
- SG = No. 123
- N(E_F) (states/eV per cell) = 6.05



Below is a relaxed AcLaNd crystal, with properties calculated at the PBE-GGA level.

Cell lengths 3.795, 11.978, 5.952 Å; angles 60.20, 90.00, 90.00 degrees
Atoms (fractional coordinates):
Ac (0.250, 0.402, 0.848)
La (0.750, 0.062, 0.188)
Nd (0.250, 0.757, 0.493)
Nd (0.750, 0.243, 0.507)
La (0.250, 0.938, 0.812)
Ac (0.750, 0.598, 0.152)

Results
- relative energy among the computed polymorphs (meV/atom) = 0
- SG = No. 59
- N(E_F) (states/eV per cell) = 9.39
- formation energy (eV per atom) = 0.023



Below is a relaxed AlZnAgRu crystal, with properties calculated at the PBE-GGA level.

Cell lengths 4.365, 4.365, 4.365 Å; angles 60.00, 60.00, 60.00 degrees
Atoms (fractional coordinates):
Al (0.500, 0.500, 0.500)
Ru (0.750, 0.750, 0.750)
Ag (0.250, 0.250, 0.250)
Zn (0.000, 0.000, 0.000)

Results
- SG = No. 216
- N(E_F) (states/eV per cell) = 3.00
- formation energy (eV per atom) = -0.149



Below is a relaxed CaLa4Se5 crystal, with properties calculated at the PBE-GGA level.

Cell lengths 6.083, 7.441, 7.441 Å; angles 80.38, 65.87, 65.87 degrees
Atoms (fractional coordinates):
Ca (0.001, 0.000, 0.000)
Se (0.100, 0.609, 0.194)
Se (0.709, 0.194, 0.391)
Se (0.293, 0.806, 0.609)
La (0.600, 0.599, 0.204)
La (0.402, 0.401, 0.796)
Se (0.902, 0.391, 0.806)
La (0.803, 0.796, 0.599)
La (0.199, 0.204, 0.401)
Se (0.501, 0.000, 0.000)

Results
- formation energy (no corrections) (meV per atom) = -1984
- SG = No. 87
- N(E_F) (states/eV per cell) = 5.60